A relaxed LiCuN2F crystal, computed with PBE.

Lattice parameters (Å, degrees): 3.555 3.555 3.543 90.00 90.00 90.00
Atoms (fractional coordinates):
Li 0.000 0.000 0.000
Cu 0.500 0.500 0.500
N 0.000 0.500 0.000
N 0.500 0.000 0.000
F 0.000 0.000 0.500

SG: P4/mmm
Formation energy without anion corrections, meV/atom: 1185.4
Volume, Å³ per cell: 44.8
Distance to the lowest polymorph of the same formula, meV/atom: 717

A relaxed LiCuN2F crystal, computed with PBE.

Lattice parameters (Å, degrees): 3.591 3.591 4.861 90.00 90.00 90.00
Atoms (fractional coordinates):
Li 0.000 0.000 0.000
Cu 0.500 0.500 0.500
N 0.000 0.500 0.500
N 0.500 0.000 0.500
F 0.500 0.500 0.000

SG: P4/mmm
Formation energy without anion corrections, meV/atom: 468.2
Volume, Å³ per cell: 62.7
Distance to the lowest polymorph of the same formula, meV/atom: 0

A relaxed NaLiCu2F8 crystal, computed with PBE.

Lattice parameters (Å, degrees): 6.525 6.525 6.525 131.63 131.63 70.81
Atoms (fractional coordinates):
Na 0.000 0.000 0.000
Li 0.250 0.750 0.500
Cu 0.500 0.500 0.000
Cu 0.750 0.250 0.500
F 0.035 0.415 0.959
F 0.200 0.376 0.566
F 0.365 0.800 0.176
F 0.455 0.076 0.041
F 0.585 0.545 0.620
F 0.624 0.190 0.824
F 0.810 0.635 0.434
F 0.924 0.965 0.380

SG: I-4
Formation energy without anion corrections, meV/atom: -1820.0
Volume, Å³ per cell: 152.0

A relaxed Na3Li2CuF9 crystal, computed with PBE.

Lattice parameters (Å, degrees): 5.451 5.451 6.840 90.00 90.00 120.00
Atoms (fractional coordinates):
Na 0.000 0.000 0.000
Na 0.333 0.667 0.727
Na 0.667 0.333 0.273
Li 0.333 0.667 0.161
Li 0.667 0.333 0.839
Cu 0.000 0.000 0.500
F 0.000 0.500 0.000
F 0.160 0.320 0.338
F 0.160 0.840 0.338
F 0.320 0.160 0.662
F 0.500 0.000 0.000
F 0.500 0.500 0.000
F 0.680 0.840 0.338
F 0.840 0.160 0.662
F 0.840 0.680 0.662

SG: P-3m1
Formation energy without anion corrections, meV/atom: -2242.9
Volume, Å³ per cell: 176.0

A relaxed NaLiCu2F6 crystal, computed with PBE.

Lattice parameters (Å, degrees): 5.613 5.613 5.613 56.49 56.49 56.49
Atoms (fractional coordinates):
Na 0.000 0.000 0.000
Li 0.485 0.485 0.485
Cu 0.282 0.282 0.282
Cu 0.787 0.787 0.787
F 0.061 0.634 0.437
F 0.174 0.548 0.896
F 0.437 0.061 0.634
F 0.548 0.896 0.174
F 0.634 0.437 0.061
F 0.896 0.174 0.548

SG: R3
Formation energy without anion corrections, meV/atom: -2048.3
Volume, Å³ per cell: 114.9

A relaxed NaLi2CuF4 crystal, computed with PBE.

Lattice parameters (Å, degrees): 5.658 5.658 11.072 90.00 90.00 149.79
Atoms (fractional coordinates):
Na 0.176 0.824 0.750
Na 0.824 0.176 0.250
Li 0.373 0.627 0.516
Li 0.373 0.627 0.984
Li 0.627 0.373 0.016
Li 0.627 0.373 0.484
Cu 0.100 0.900 0.250
Cu 0.900 0.100 0.750
F 0.000 0.000 0.000
F 0.000 0.000 0.500
F 0.234 0.766 0.109
F 0.234 0.766 0.391
F 0.470 0.530 0.250
F 0.530 0.470 0.750
F 0.766 0.234 0.609
F 0.766 0.234 0.891

SG: Cmcm
Formation energy without anion corrections, meV/atom: -2273.7
Volume, Å³ per cell: 178.4

A relaxed NaLi4Cu3F12 crystal, computed with PBE.

Lattice parameters (Å, degrees): 6.507 6.507 6.507 109.47 109.47 109.47
Atoms (fractional coordinates):
Na 0.000 0.000 0.000
Li 0.000 0.000 0.500
Li 0.000 0.500 0.000
Li 0.500 0.000 0.000
Li 0.500 0.500 0.500
Cu 0.000 0.500 0.500
Cu 0.500 0.000 0.500
Cu 0.500 0.500 0.000
F 0.147 0.830 0.318
F 0.170 0.318 0.488
F 0.170 0.682 0.853
F 0.318 0.147 0.830
F 0.318 0.488 0.170
F 0.488 0.170 0.318
F 0.512 0.830 0.682
F 0.682 0.512 0.830
F 0.682 0.853 0.170
F 0.830 0.318 0.147
F 0.830 0.682 0.512
F 0.853 0.170 0.682

SG: Im-3
Formation energy without anion corrections, meV/atom: -2212.3
Volume, Å³ per cell: 212.0

A relaxed Li2NdCuF8 crystal, computed with PBE.

Lattice parameters (Å, degrees): 3.960 5.258 7.777 94.65 97.83 90.72
Atoms (fractional coordinates):
Li 0.072 0.068 0.194
Li 0.928 0.932 0.806
Nd 0.500 0.500 0.000
Cu 0.500 0.500 0.500
F 0.007 0.744 0.053
F 0.131 0.317 0.398
F 0.432 0.843 0.827
F 0.493 0.331 0.691
F 0.507 0.669 0.309
F 0.568 0.157 0.173
F 0.869 0.683 0.602
F 0.993 0.256 0.947

SG: P-1
Formation energy without anion corrections, meV/atom: -2748.1
Volume, Å³ per cell: 159.8

| no. | M_tot (μB/cell) |
| --- | --- |
| 1 | 0.000 |
| 2 | 1.871 |
| 3 | 0.000 |
| 4 | 1.851 |
| 5 | 2.025 |
| 6 | 0.209 |
| 7 | 2.000 |
| 8 | 0.065 |